(1)
A relaxed structure of Hf2MnBr. Source: the Alexandria database, functional PBE.

ΔE to the lowest computed polymorph in eV/atom: 0.000
Total DFT energy (no corrections) in eV per atom: -7.3396

abc: 4.7368 4.7368 4.7368
angles: 60.00 60.00 60.00
Last column: nearest neighbours and their distance in Å.
Sites, in units of the cell vectors:
Hf: 0.2500 0.2500 0.2500  4 Br 2.90, 4 Mn 2.90
Hf: 0.7500 0.7500 0.7500  4 Br 2.90, 4 Mn 2.90
Mn: 0.0000 0.0000 0.0000  8 Hf 2.90
Br: 0.5000 0.5000 0.5000  8 Hf 2.90

---

(2)
A relaxed structure of CsSc2S. Source: the Alexandria database, functional PBE.

Total DFT energy (no corrections) in eV per atom: -4.3021

abc: 11.8148 11.8148 11.8148
angles: 18.23 18.23 18.23
Last column: nearest neighbours and their distance in Å.
Sites, in units of the cell vectors:
Cs: 0.0000 0.0000 0.0000  6 Cs 3.74, 6 Sc 4.11
Sc: 0.4335 0.4335 0.4335  1 S 2.32
Sc: 0.5665 0.5665 0.5665  1 S 2.32
S: 0.5000 0.5000 0.5000  2 Sc 2.32

---

(3)
A relaxed structure of PrSmGe2. Source: the Alexandria database, functional PBE.

Energy of formation in eV/atom: -0.847
ΔE to the lowest computed polymorph in eV/atom: 0.000
Total DFT energy (no corrections) in eV per atom: -5.5305

abc: 4.0731 5.9746 5.9746
angles: 43.91 90.00 90.00
Last column: nearest neighbours and their distance in Å.
Sites, in units of the cell vectors:
Pr: 0.0000 0.0000 0.0000  7 Ge 3.09-3.31
Sm: 0.5000 0.2760 0.2760  7 Ge 3.08-3.29
Ge: 0.0000 0.7209 0.7209  2 Ge 2.72
Ge: 0.5000 0.5579 0.5579  2 Ge 2.72

---

(4)
A relaxed structure of Sc2TaCu. Source: the Alexandria database, functional PBE.

Energy of formation in eV/atom: 0.147
ΔE to the lowest computed polymorph in eV/atom: 0.195
Total DFT energy (no corrections) in eV per atom: -7.0059

abc: 3.1377 4.5708 5.6822
angles: 90.00 105.91 90.00
Last column: nearest neighbours and their distance in Å.
Sites, in units of the cell vectors:
Sc: 0.0000 0.0000 0.0000  3 Cu 2.94-2.97, 4 Ta 2.97, 2 Sc 3.14
Sc: 0.3227 0.5000 0.6499  3 Ta 2.94-2.97, 4 Cu 2.96-2.97, 2 Sc 3.14
Ta: 0.5975 0.5000 0.1939  2 Cu 2.70, 7 Sc 2.94-2.97
Cu: 0.7245 0.0000 0.4563  2 Ta 2.70, 7 Sc 2.94-2.97

---

(5)
A relaxed structure of CePrGaPb. Source: the Alexandria database, functional PBE.

Energy of formation in eV/atom: -0.405
Total DFT energy (no corrections) in eV per atom: -4.7669

abc: 5.4299 5.4299 5.4299
angles: 60.00 60.00 60.00
Last column: nearest neighbours and their distance in Å.
Sites, in units of the cell vectors:
Ce: 0.0000 0.0000 0.0000  4 Pb 3.33, 4 Ga 3.33
Pr: 0.5000 0.5000 0.5000  4 Ga 3.33, 4 Pb 3.33
Ga: 0.7500 0.7500 0.7500  4 Ce 3.33, 4 Pr 3.33
Pb: 0.2500 0.2500 0.2500  4 Pr 3.33, 4 Ce 3.33

---

(6)
A relaxed structure of MnCrCdS4. Source: the Alexandria database, functional PBE.

Total DFT energy (no corrections) in eV per atom: -5.7876

abc: 7.3527 7.3527 7.3527
angles: 120.62 120.28 89.22
Last column: nearest neighbours and their distance in Å.
Sites, in units of the cell vectors:
Mn: 0.5000 0.0000 0.0000  6 S 2.44-2.50
Mn: 0.5000 0.5000 0.5000  6 S 2.44-2.50
Cr: 0.0000 0.0000 0.0000  6 S 2.42-2.43
Cr: 0.5000 0.0000 0.5000  6 S 2.42-2.43
Cd: 0.1210 0.3710 0.7500  4 S 2.52-2.53
Cd: 0.8790 0.6290 0.2500  4 S 2.52-2.53
S: 0.2597 0.2303 0.0294  1 Cr 2.42, 2 Mn 2.44, 1 Cd 2.52
S: 0.2624 0.2307 0.4683  2 Cr 2.43, 1 Mn 2.50, 1 Cd 2.53
S: 0.2624 0.7941 0.0317  2 Cr 2.43, 1 Mn 2.50, 1 Cd 2.53
S: 0.2991 0.7697 0.5294  1 Cr 2.42, 2 Mn 2.44, 1 Cd 2.52
S: 0.7009 0.2303 0.4706  1 Cr 2.42, 2 Mn 2.44, 1 Cd 2.52
S: 0.7376 0.2059 0.9683  2 Cr 2.43, 1 Mn 2.50, 1 Cd 2.53
S: 0.7376 0.7693 0.5317  2 Cr 2.43, 1 Mn 2.50, 1 Cd 2.53
S: 0.7403 0.7697 0.9706  1 Cr 2.42, 2 Mn 2.44, 1 Cd 2.52

---

(7)
A relaxed structure of Cs3GeF. Source: the Alexandria database, functional PBE.

ΔE to the lowest computed polymorph in eV/atom: 0.000
Total DFT energy (no corrections) in eV per atom: -2.7198

abc: 5.9697 5.9697 5.9697
angles: 90.00 90.00 90.00
Last column: nearest neighbours and their distance in Å.
Sites, in units of the cell vectors:
Cs: 0.0000 0.0000 0.5000  2 F 2.98
Cs: 0.0000 0.5000 0.0000  2 F 2.98
Cs: 0.5000 0.0000 0.0000  2 F 2.98
Ge: 0.5000 0.5000 0.5000  12 Cs 4.22
F: 0.0000 0.0000 0.0000  6 Cs 2.98

---

(8)
A relaxed structure of AcNd2Y6Ho. Source: the Alexandria database, functional PBE.

Energy of formation in eV/atom: 0.096
Total DFT energy (no corrections) in eV per atom: -5.6045

abc: 7.5174 9.5978 12.1885
angles: 90.00 128.06 90.00
Last column: nearest neighbours and their distance in Å.
Sites, in units of the cell vectors:
Ac: 0.0000 0.0000 0.0000  2 Ho 3.76, 8 Y 3.87-4.02, 4 Nd 4.01-4.02
Ac: 0.0000 0.5000 0.5000  2 Ho 3.76, 8 Y 3.87-4.02, 4 Nd 4.01-4.02
Nd: 0.0765 0.1740 0.3272  6 Y 3.33-3.51
Nd: 0.0765 0.3260 0.8272  6 Y 3.33-3.51
Nd: 0.9235 0.6740 0.1728  6 Y 3.33-3.51
Nd: 0.9235 0.8260 0.6728  6 Y 3.33-3.51
Y: 0.1288 0.1179 0.6298  3 Nd 3.33-3.50, 4 Y 3.34-3.51, 1 Ho 3.73
Y: 0.1288 0.3821 0.1298  3 Nd 3.33-3.50, 4 Y 3.34-3.51, 1 Ho 3.73
Y: 0.3825 0.6296 0.8820  4 Y 3.33-3.50, 3 Nd 3.33-3.51, 1 Ho 3.73
Y: 0.3825 0.8704 0.3820  4 Y 3.33-3.50, 3 Nd 3.33-3.51, 1 Ho 3.73
Y: 0.4243 0.6728 0.1739  6 Y 3.33-3.51
Y: 0.4243 0.8272 0.6739  6 Y 3.33-3.51
Y: 0.5757 0.1728 0.3261  6 Y 3.33-3.51
Y: 0.5757 0.3272 0.8261  6 Y 3.33-3.51
Y: 0.6175 0.1296 0.6180  4 Y 3.33-3.50, 3 Nd 3.33-3.51, 1 Ho 3.73
Y: 0.6175 0.3704 0.1180  4 Y 3.33-3.50, 3 Nd 3.33-3.51, 1 Ho 3.73
Y: 0.8712 0.6179 0.8702  3 Nd 3.33-3.50, 4 Y 3.34-3.51, 1 Ho 3.73
Y: 0.8712 0.8821 0.3702  3 Nd 3.33-3.50, 4 Y 3.34-3.51, 1 Ho 3.73
Ho: 0.5000 0.0000 0.0000  8 Y 3.73-4.02, 2 Ac 3.76, 4 Nd 4.01-4.02
Ho: 0.5000 0.5000 0.5000  8 Y 3.73-4.02, 2 Ac 3.76, 4 Nd 4.01-4.02

---

(9)
A relaxed structure of LiCa2Ta. Source: the Alexandria database, functional PBE.

Energy of formation in eV/atom: 0.639
ΔE to the lowest computed polymorph in eV/atom: 0.150
Total DFT energy (no corrections) in eV per atom: -3.8031

abc: 5.9127 5.9127 3.1304
angles: 90.00 90.00 106.22
Last column: nearest neighbours and their distance in Å.
Sites, in units of the cell vectors:
Li: 0.0000 0.0000 0.0000  2 Li 3.13, 8 Ca 3.35
Ca: 0.0000 0.5000 0.5000  2 Ca 3.13, 4 Ta 3.35, 4 Li 3.35
Ca: 0.5000 0.0000 0.5000  2 Ca 3.13, 4 Ta 3.35, 4 Li 3.35
Ta: 0.5000 0.5000 0.0000  2 Ta 3.13, 8 Ca 3.35

---

(10)
A relaxed structure of K2Ca2USe6. Source: the Alexandria database, functional PBE.

Total DFT energy (no corrections) in eV per atom: -4.9629

abc: 7.2436 7.2436 8.1781
angles: 99.01 99.01 119.11
Last column: nearest neighbours and their distance in Å.
Sites, in units of the cell vectors:
K: 0.1730 0.8270 0.0000  6 Se 3.33-3.43
K: 0.8270 0.1730 0.0000  6 Se 3.33-3.43
Ca: 0.3339 0.6661 0.5000  6 Se 2.96-2.99
Ca: 0.6661 0.3339 0.5000  6 Se 2.96-2.99
U: 0.0000 0.0000 0.5000  6 Se 2.72
Se: 0.0696 0.3765 0.7011  1 U 2.72, 2 Ca 2.97-2.99
Se: 0.2354 0.2354 0.3007  1 U 2.72, 2 Ca 2.96
Se: 0.3765 0.0696 0.7011  1 U 2.72, 2 Ca 2.97-2.99
Se: 0.6235 0.9304 0.2989  1 U 2.72, 2 Ca 2.97-2.99
Se: 0.7646 0.7646 0.6993  1 U 2.72, 2 Ca 2.96
Se: 0.9304 0.6235 0.2989  1 U 2.72, 2 Ca 2.97-2.99

---

(11)
A relaxed structure of Tb4PmEr. Source: the Alexandria database, functional PBE.

Energy of formation in eV/atom: 0.268
ΔE to the lowest computed polymorph in eV/atom: 0.254
Total DFT energy (no corrections) in eV per atom: -4.3711

abc: 6.5845 6.5845 6.5845
angles: 60.00 60.00 60.00
Last column: nearest neighbours and their distance in Å.
Sites, in units of the cell vectors:
Tb: 0.1247 0.1247 0.1247  6 Tb 3.29-3.30
Tb: 0.1247 0.1247 0.6258  6 Tb 3.29-3.30
Tb: 0.1247 0.6258 0.1247  6 Tb 3.29-3.30
Tb: 0.6258 0.1247 0.1247  6 Tb 3.29-3.30
Pm: 0.5000 0.5000 0.5000  12 Tb 3.86, 4 Er 4.03
Er: 0.7500 0.7500 0.7500  12 Tb 3.86, 4 Pm 4.03

---

(12)
A relaxed structure of TcOsC2. Source: the Alexandria database, functional PBE.

Energy of formation in eV/atom: 1.176
ΔE to the lowest computed polymorph in eV/atom: 0.538
Total DFT energy (no corrections) in eV per atom: -8.8344

abc: 3.7957 3.7957 3.7957
angles: 60.00 60.00 60.00
Last column: nearest neighbours and their distance in Å.
Sites, in units of the cell vectors:
Tc: 0.0000 0.0000 0.0000  8 C 2.32
Os: 0.5000 0.5000 0.5000  8 C 2.32
C: 0.2500 0.2500 0.2500  4 Tc 2.32, 4 Os 2.32
C: 0.7500 0.7500 0.7500  4 Tc 2.32, 4 Os 2.32

---

- Among the records above, which one has the lowest total DFT energy (no corrections)?
  TcOsC2